# 1
The following is a DFT calculation (PBE-GGA) of a relaxed CdCu2Sn2 crystal.

Values from the calculation:
**M_tot**: 0.00 μB per formula unit
**Calculated volume**: 105 Å³/cell
**SG**: I4/mmm
**Crystal system**: tetragonal

abc: 3.481 3.481 8.977
angles: 78.82 78.82 90.00
Positions (direct):
Sn  0.377  0.377  0.247
Sn  0.623  0.623  0.753
Cu  0.750  0.250  0.500
Cu  0.250  0.750  0.500
Cd  0.000  0.000  0.000

# 2
The following is a DFT calculation (PBE-GGA) of a relaxed Cd2Cu2Sn crystal.

Values from the calculation:
**M_tot**: 0.00 μB per formula unit
**Calculated volume**: 195 Å³/cell
**SG**: P2_1/m
**Crystal system**: monoclinic

abc: 4.377 4.517 9.870
angles: 90.00 90.00 90.00
Positions (direct):
Cd  0.750  0.250  0.007
Cd  0.250  0.750  0.680
Cd  0.250  0.750  0.993
Cd  0.750  0.250  0.320
Cu  0.250  0.251  0.500
Cu  0.750  0.750  0.166
Cu  0.250  0.250  0.834
Cu  0.750  0.749  0.500
Sn  0.750  0.249  0.676
Sn  0.250  0.751  0.324

# 3
The following is a DFT calculation (PBE-GGA) of a relaxed Cd2Cu2Sn crystal.

Values from the calculation:
**M_tot**: 0.00 μB per formula unit
**Calculated volume**: 191 Å³/cell
**SG**: P4/mbm
**Crystal system**: tetragonal

abc: 6.845 6.845 4.069
angles: 90.00 90.00 90.00
Positions (direct):
Sn  0.000  0.000  0.000
Sn  0.500  0.500  0.000
Cu  0.368  0.868  0.000
Cu  0.868  0.632  0.000
Cu  0.632  0.132  0.000
Cu  0.132  0.368  0.000
Cd  0.159  0.659  0.500
Cd  0.659  0.841  0.500
Cd  0.841  0.341  0.500
Cd  0.341  0.159  0.500

# 4
The following is a DFT calculation (PBE-GGA) of a relaxed CdCuSn crystal.

Values from the calculation:
**M_tot**: 0.00 μB per formula unit
**Calculated volume**: 65 Å³/cell
**SG**: P3m1
**Crystal system**: trigonal

abc: 3.823 4.421 4.421
angles: 120.00 90.00 90.00
Positions (direct):
Sn  0.094  0.000  0.000
Cu  0.301  0.333  0.667
Cd  0.605  0.667  0.333

# 5
The following is a DFT calculation (PBE-GGA) of a relaxed Cd2CuSn crystal.

Values from the calculation:
**M_tot**: 0.00 μB per formula unit
**Calculated volume**: 92 Å³/cell
**SG**: R-3m
**Crystal system**: trigonal

abc: 3.078 3.078 11.306
angles: 82.18 82.18 60.00
Positions (direct):
Sn  0.500  0.500  0.500
Cu  0.000  0.000  0.000
Cd  0.079  0.079  0.764
Cd  0.921  0.921  0.236

# 6
The following is a DFT calculation (PBE-GGA) of a relaxed Cd2Cu2Sn crystal.

Values from the calculation:
**M_tot**: 0.00 μB per formula unit
**Calculated volume**: 192 Å³/cell
**SG**: P4/mbm
**Crystal system**: tetragonal

abc: 7.957 7.957 3.027
angles: 90.00 90.00 90.00
Positions (direct):
Sn  0.000  0.000  0.000
Sn  0.500  0.500  0.000
Cu  0.168  0.668  0.500
Cu  0.668  0.832  0.500
Cu  0.832  0.332  0.500
Cu  0.332  0.168  0.500
Cd  0.369  0.869  0.000
Cd  0.869  0.631  0.000
Cd  0.631  0.131  0.000
Cd  0.131  0.369  0.000

# 7
The following is a DFT calculation (PBE-GGA) of a relaxed Cd6Cu6Sn crystal.

Values from the calculation:
**M_tot**: 0.00 μB per formula unit
**Calculated volume**: 229 Å³/cell
**SG**: Immm
**Crystal system**: orthorhombic

abc: 5.288 7.089 7.089
angles: 82.88 68.10 68.10
Positions (direct):
Cd  0.343  0.657  0.657
Cd  0.657  0.343  0.343
Cd  0.000  0.337  0.663
Cd  0.000  0.663  0.337
Cd  0.320  0.180  0.180
Cd  0.680  0.820  0.820
Cu  0.000  0.500  0.000
Cu  0.500  0.500  0.000
Cu  0.000  0.000  0.500
Cu  0.500  0.000  0.500
Cu  0.500  0.757  0.243
Cu  0.500  0.243  0.757
Sn  0.000  0.000  0.000

# 8
The following is a DFT calculation (PBE-GGA) of a relaxed Cd2Cu2Sn crystal.

Values from the calculation:
**M_tot**: 0.00 μB per formula unit
**Calculated volume**: 103 Å³/cell
**SG**: I4/mmm
**Crystal system**: tetragonal

abc: 3.420 3.420 9.091
angles: 79.16 79.16 90.00
Positions (direct):
Sn  0.000  0.000  0.000
Cu  0.750  0.250  0.500
Cu  0.250  0.750  0.500
Cd  0.375  0.375  0.251
Cd  0.625  0.625  0.749

# 9
The following is a DFT calculation (PBE-GGA) of a relaxed CdCuSn4 crystal.

Values from the calculation:
**M_tot**: 0.00 μB per formula unit
**Calculated volume**: 303 Å³/cell
**SG**: C2/c
**Crystal system**: monoclinic

abc: 5.882 8.753 7.621
angles: 116.46 101.21 109.48
Positions (direct):
Cd  0.371  0.621  0.242
Cd  0.629  0.379  0.758
Cu  0.266  0.016  0.031
Cu  0.734  0.984  0.969
Sn  0.059  0.192  0.844
Sn  0.796  0.709  0.651
Sn  0.285  0.652  0.844
Sn  0.354  0.942  0.651
Sn  0.646  0.058  0.349
Sn  0.715  0.348  0.156
Sn  0.204  0.291  0.349
Sn  0.941  0.808  0.156

# 10
The following is a DFT calculation (PBE-GGA) of a relaxed Cd2CuSn2 crystal.

Values from the calculation:
**M_tot**: 0.00 μB per formula unit
**Calculated volume**: 245 Å³/cell
**SG**: P4/mbm
**Crystal system**: tetragonal

abc: 6.927 6.927 5.099
angles: 90.00 90.00 90.00
Positions (direct):
Sn  0.345  0.845  0.000
Sn  0.845  0.655  0.000
Sn  0.655  0.155  0.000
Sn  0.155  0.345  0.000
Cu  0.000  0.000  0.000
Cu  0.500  0.500  0.000
Cd  0.164  0.664  0.500
Cd  0.664  0.836  0.500
Cd  0.836  0.336  0.500
Cd  0.336  0.164  0.500

# 11
The following is a DFT calculation (PBE-GGA) of a relaxed Cd2CuSn crystal.

Values from the calculation:
**M_tot**: 0.00 μB per formula unit
**Calculated volume**: 185 Å³/cell
**SG**: I-42d
**Crystal system**: tetragonal

abc: 8.269 8.269 6.442
angles: 50.07 50.07 90.00
Positions (direct):
Sn  0.000  0.000  0.000
Sn  0.750  0.250  0.500
Cu  0.500  0.500  0.000
Cu  0.250  0.750  0.500
Cd  0.567  0.125  0.250
Cd  0.183  0.625  0.250
Cd  0.375  0.433  0.750
Cd  0.875  0.817  0.750

# 12
The following is a DFT calculation (PBE-GGA) of a relaxed Cd2CuSn crystal.

Values from the calculation:
**M_tot**: 0.00 μB per formula unit
**Calculated volume**: 86 Å³/cell
**SG**: R3m
**Crystal system**: trigonal

abc: 3.242 3.242 9.657
angles: 80.34 80.34 60.00
Positions (direct):
Cd  0.071  0.071  0.788
Cd  0.262  0.262  0.213
Cu  0.666  0.666  0.001
Sn  0.501  0.501  0.498

# 13
The following is a DFT calculation (PBE-GGA) of a relaxed Cd2Cu2Sn crystal.

Values from the calculation:
**M_tot**: 0.00 μB per formula unit
**Calculated volume**: 100 Å³/cell
**SG**: I4/mmm
**Crystal system**: tetragonal

abc: 3.953 3.953 6.972
angles: 73.53 73.53 90.00
Positions (direct):
Sn  0.000  0.000  0.000
Cu  0.406  0.406  0.188
Cu  0.594  0.594  0.812
Cd  0.750  0.250  0.500
Cd  0.250  0.750  0.500

# 14
The following is a DFT calculation (PBE-GGA) of a relaxed CdCu5Sn crystal.

Values from the calculation:
**M_tot**: 0.00 μB per formula unit
**Calculated volume**: 430 Å³/cell
**SG**: Pnma
**Crystal system**: orthorhombic

abc: 5.115 7.909 10.625
angles: 90.00 90.00 90.00
Positions (direct):
Cd  0.250  0.264  0.954
Cd  0.750  0.236  0.454
Cd  0.250  0.764  0.546
Cd  0.750  0.736  0.046
Cu  0.250  0.614  0.023
Cu  0.750  0.886  0.523
Cu  0.250  0.114  0.477
Cu  0.750  0.386  0.977
Cu  0.750  0.316  0.744
Cu  0.250  0.184  0.244
Cu  0.750  0.816  0.756
Cu  0.250  0.684  0.256
Cu  0.250  0.928  0.104
Cu  0.750  0.572  0.604
Cu  0.250  0.428  0.396
Cu  0.750  0.072  0.896
Cu  0.998  0.436  0.179
Cu  0.002  0.064  0.679
Cu  0.502  0.936  0.321
Cu  0.498  0.564  0.821
Cu  0.002  0.564  0.821
Cu  0.998  0.936  0.321
Cu  0.498  0.064  0.679
Cu  0.502  0.436  0.179
Sn  0.250  0.875  0.856
Sn  0.750  0.625  0.356
Sn  0.250  0.375  0.644
Sn  0.750  0.125  0.144

# 15
The following is a DFT calculation (PBE-GGA) of a relaxed CdCuSn3 crystal.

Values from the calculation:
**M_tot**: 0.00 μB per formula unit
**Calculated volume**: 245 Å³/cell
**SG**: C2/m
**Crystal system**: monoclinic

abc: 6.868 6.868 6.977
angles: 104.30 122.58 101.66
Positions (direct):
Cd  0.701  0.053  0.753
Cd  0.299  0.947  0.247
Cu  0.634  0.739  0.374
Cu  0.366  0.261  0.626
Sn  0.828  0.999  0.230
Sn  0.232  0.402  0.230
Sn  0.768  0.598  0.770
Sn  0.748  0.430  0.178
Sn  0.172  0.001  0.770
Sn  0.252  0.570  0.822

# 16
The following is a DFT calculation (PBE-GGA) of a relaxed Cd2CuSn2 crystal.

Values from the calculation:
**M_tot**: 0.00 μB per formula unit
**Calculated volume**: 239 Å³/cell
**SG**: P4/mbm
**Crystal system**: tetragonal

abc: 7.121 7.121 4.704
angles: 90.00 90.00 90.00
Positions (direct):
Sn  0.163  0.663  0.500
Sn  0.663  0.837  0.500
Sn  0.837  0.337  0.500
Sn  0.337  0.163  0.500
Cu  0.000  0.000  0.000
Cu  0.500  0.500  0.000
Cd  0.351  0.851  0.000
Cd  0.851  0.649  0.000
Cd  0.649  0.149  0.000
Cd  0.149  0.351  0.000

# 17
The following is a DFT calculation (PBE-GGA) of a relaxed Cd2CuSn crystal.

Values from the calculation:
**M_tot**: 0.00 μB per formula unit
**Calculated volume**: 84 Å³/cell
**SG**: P4/mmm
**Crystal system**: tetragonal

abc: 4.570 4.281 4.281
angles: 90.00 90.00 90.00
Positions (direct):
Sn  0.500  0.000  0.000
Cu  0.500  0.500  0.500
Cd  0.000  0.000  0.500
Cd  0.000  0.500  0.000

# 18
The following is a DFT calculation (PBE-GGA) of a relaxed CdCuSn crystal.

Values from the calculation:
**M_tot**: 0.00 μB per formula unit
**Calculated volume**: 62 Å³/cell
**SG**: I4mm
**Crystal system**: tetragonal

abc: 3.107 3.107 6.794
angles: 103.22 103.22 90.00
Positions (direct):
Sn  0.310  0.310  0.620
Cu  0.663  0.663  0.326
Cd  0.027  0.027  0.054

# 19
The following is a DFT calculation (PBE-GGA) of a relaxed CdCu2Sn2 crystal.

Values from the calculation:
**M_tot**: 0.00 μB per formula unit
**Calculated volume**: 200 Å³/cell
**SG**: P4/mbm
**Crystal system**: tetragonal

abc: 7.413 7.413 3.633
angles: 90.00 90.00 90.00
Positions (direct):
Sn  0.172  0.672  0.500
Sn  0.672  0.828  0.500
Sn  0.828  0.328  0.500
Sn  0.328  0.172  0.500
Cu  0.378  0.878  0.000
Cu  0.878  0.622  0.000
Cu  0.622  0.122  0.000
Cu  0.122  0.378  0.000
Cd  0.000  0.000  0.000
Cd  0.500  0.500  0.000

# 20
The following is a DFT calculation (PBE-GGA) of a relaxed CdCu2Sn2 crystal.

Values from the calculation:
**M_tot**: 0.00 μB per formula unit
**Calculated volume**: 106 Å³/cell
**SG**: C2/m
**Crystal system**: monoclinic

abc: 4.342 5.127 5.282
angles: 97.30 114.26 90.00
Positions (direct):
Cd  0.000  0.000  0.000
Cu  0.737  0.126  0.474
Cu  0.263  0.874  0.526
Sn  0.350  0.395  0.701
Sn  0.650  0.605  0.299

# 21
The following is a DFT calculation (PBE-GGA) of a relaxed Cd3CuSn crystal.

Values from the calculation:
**M_tot**: 0.00 μB per formula unit
**Calculated volume**: 234 Å³/cell
**SG**: C2/m
**Crystal system**: monoclinic

abc: 6.795 6.795 6.762
angles: 102.38 118.94 107.77
Positions (direct):
Cd  0.855  0.112  0.337
Cd  0.225  0.482  0.337
Cd  0.775  0.518  0.663
Cd  0.695  0.442  0.137
Cd  0.145  0.888  0.663
Cd  0.305  0.558  0.863
Cu  0.629  0.758  0.387
Cu  0.371  0.242  0.613
Sn  0.719  0.071  0.789
Sn  0.281  0.929  0.211

# 22
The following is a DFT calculation (PBE-GGA) of a relaxed Cd2CuSn crystal.

Values from the calculation:
**M_tot**: 0.00 μB per formula unit
**Calculated volume**: 170 Å³/cell
**SG**: P2_1/m
**Crystal system**: monoclinic

abc: 4.175 5.458 8.204
angles: 90.00 90.00 114.73
Positions (direct):
Cd  0.361  0.713  0.555
Cd  0.639  0.287  0.445
Cd  0.361  0.713  0.945
Cd  0.639  0.287  0.055
Cu  0.763  0.518  0.750
Cu  0.237  0.482  0.250
Sn  0.938  0.898  0.250
Sn  0.062  0.102  0.750

# 23
The following is a DFT calculation (PBE-GGA) of a relaxed TlCdCuSn2 crystal.

Values from the calculation:
**M_tot**: 0.00 μB per formula unit
**Calculated volume**: 136 Å³/cell
**SG**: P4/mmm
**Crystal system**: tetragonal

abc: 5.165 5.165 5.114
angles: 90.00 90.00 90.00
Positions (direct):
Tl  0.500  0.500  0.500
Sn  0.000  0.500  0.000
Sn  0.500  0.000  0.000
Cu  0.000  0.000  0.000
Cd  0.000  0.000  0.500

# 24
The following is a DFT calculation (PBE-GGA) of a relaxed TmCdCuSn crystal.

Values from the calculation:
**M_tot**: 0.00 μB per formula unit
**Calculated volume**: 86 Å³/cell
**SG**: F-43m
**Crystal system**: cubic

abc: 4.964 4.964 4.964
angles: 60.00 60.00 60.00
Positions (direct):
Tm  0.250  0.250  0.250
Sn  0.000  0.000  0.000
Cu  0.500  0.500  0.500
Cd  0.750  0.750  0.750

Number 1: ρ 7.6 Mg/m³, DFT formation energy 126 meV per atom, final energy -3.297 eV/atom. Number 2: ρ 8.0 Mg/m³, DFT formation energy 62 meV per atom, final energy -2.743 eV/atom. Number 3: ρ 8.2 Mg/m³, DFT formation energy 97 meV per atom, final energy -2.708 eV/atom. Number 4: ρ 7.6 Mg/m³, DFT formation energy 166 meV per atom, final energy -2.839 eV/atom. Number 5: ρ 7.4 Mg/m³, DFT formation energy 328 meV per atom, final energy -2.154 eV/atom. Number 6: ρ 8.2 Mg/m³, DFT formation energy 161 meV per atom, final energy -2.644 eV/atom. Number 7: ρ 8.5 Mg/m³, DFT formation energy 46 meV per atom, final energy -2.574 eV/atom. Number 8: ρ 7.6 Mg/m³, DFT formation energy 130 meV per atom, final energy -2.675 eV/atom. Number 9: ρ 7.1 Mg/m³, DFT formation energy 70 meV per atom, final energy -3.433 eV/atom. Number 10: ρ 7.1 Mg/m³, DFT formation energy 144 meV per atom, final energy -2.643 eV/atom. Number 11: ρ 7.3 Mg/m³, DFT formation energy 195 meV per atom, final energy -2.287 eV/atom. Number 12: ρ 7.8 Mg/m³, DFT formation energy 142 meV per atom, final energy -2.341 eV/atom. Number 13: ρ 7.8 Mg/m³, DFT formation energy 184 meV per atom, final energy -2.621 eV/atom. Number 14: ρ 8.5 Mg/m³, DFT formation energy 58 meV per atom, final energy -3.571 eV/atom. Number 15: ρ 7.2 Mg/m³, DFT formation energy 73 meV per atom, final energy -3.331 eV/atom. Number 16: ρ 7.3 Mg/m³, DFT formation energy 221 meV per atom, final energy -2.566 eV/atom. Number 17: ρ 8.1 Mg/m³, DFT formation energy 151 meV per atom, final energy -2.332 eV/atom. Number 18: ρ 7.9 Mg/m³, DFT formation energy 110 meV per atom, final energy -2.895 eV/atom. Number 19: ρ 7.9 Mg/m³, DFT formation energy 99 meV per atom, final energy -3.324 eV/atom. Number 20: ρ 7.5 Mg/m³, DFT formation energy 50 meV per atom, final energy -3.373 eV/atom. Number 21: ρ 7.4 Mg/m³, DFT formation energy 100 meV per atom, final energy -2.069 eV/atom. Number 22: ρ 8.0 Mg/m³, DFT formation energy 73 meV per atom, final energy -2.410 eV/atom. Number 23: ρ 7.5 Mg/m³, DFT formation energy 180 meV per atom, final energy -2.897 eV/atom. Number 24: ρ 8.9 Mg/m³, DFT formation energy -178 meV per atom, final energy -3.549 eV/atom.